## ScTeSe2 (PBE)

Data for a relaxed ScTeSe2 crystal.

Calculated values
**Magnetic moment**: 0.00 μB per formula unit
**Volume**: 96.6 Å³ per cell

Cell: 3.976 4.941 5.292 Å, 90.00 111.59 90.00°
Fractional positions:
Sc1 0.000 0.000 0.000
Te1 0.394 0.500 0.785
Se1 0.117 0.500 0.234
Se2 0.700 0.000 0.401


## ScTeSe (PBE)

Data for a relaxed ScTeSe crystal.

Calculated values
**Magnetic moment**: 0.00 μB per formula unit
**Volume**: 75.1 Å³ per cell
**Energy above the most stable polymorph in this dataset**: 0.3605 eV/atom

Cell: 4.584 4.584 4.127 Å, 90.00 90.00 120.00°
Fractional positions:
Sc1 0.000 0.000 0.000
Te1 0.667 0.333 0.500
Se1 0.333 0.667 0.000


## ScTeSe3 (PBE)

Data for a relaxed ScTeSe3 crystal.

Calculated values
**Magnetic moment**: 0.52 μB per formula unit
**Volume**: 147.7 Å³ per cell
**Energy above the most stable polymorph in this dataset**: 0.4254 eV/atom

Cell: 5.286 5.286 5.286 Å, 90.00 90.00 90.00°
Fractional positions:
Sc1 0.000 0.000 0.000
Te1 0.500 0.500 0.500
Se1 0.000 0.500 0.500
Se2 0.500 0.000 0.500
Se3 0.500 0.500 0.000


## ScTe2Se (PBE)

Data for a relaxed ScTe2Se crystal.

Calculated values
**Magnetic moment**: 0.00 μB per formula unit
**Volume**: 128.4 Å³ per cell

Cell: 9.137 9.137 9.137 Å, 25.92 25.92 25.92°
Fractional positions:
Sc1 0.000 0.000 0.000
Te1 0.398 0.398 0.398
Te2 0.602 0.602 0.602
Se1 0.500 0.500 0.500


## ScTe2Se (PBE)

Data for a relaxed ScTe2Se crystal.

Calculated values
**Magnetic moment**: 0.00 μB per formula unit
**Volume**: 273.0 Å³ per cell

Cell: 9.289 9.289 9.289 Å, 144.18 144.18 51.55°
Fractional positions:
Sc1 0.000 0.000 0.000
Sc2 0.750 0.250 0.500
Te1 0.111 0.625 0.986
Te2 0.375 0.361 0.486
Te3 0.639 0.125 0.014
Te4 0.875 0.889 0.514
Se1 0.250 0.750 0.500
Se2 0.500 0.500 0.000


## ScTeSe2 (PBE)

Data for a relaxed ScTeSe2 crystal.

Calculated values
**Magnetic moment**: 0.00 μB per formula unit
**Volume**: 93.7 Å³ per cell

Cell: 3.491 3.491 7.689 Å, 90.00 90.00 90.00°
Fractional positions:
Sc1 0.000 0.000 0.000
Te1 0.000 0.000 0.500
Se1 0.500 0.500 0.176
Se2 0.500 0.500 0.824


Calculated values (states/eV/f.u.) of DOS(E_F) for the records, taken in order: 2.299 2.536 8.267 3.286 3.674 1.955.
Calculated values (eV per atom) of formation energy from raw total energies for the records, taken in order: -0.696 -0.867 0.165 -0.528 -0.198 -0.731.